1.
! GaSbHIr2 (PBE, relaxed); values from VASP
! M_tot in μB per cell: 0.92
! Final energy in eV per atom: -3.973
! Calculated volume in Å³ per cell: 110
! Space-group type: No. 123
! Calculated density in g/cm³: 8.69
&SYSTEM
  ibrav = 0, nat = 5, ntyp = 4
/
ATOMIC_SPECIES
Ga 69.72 Ga.upf
Sb 121.76 Sb.upf
H 1.01 H.upf
Ir 192.22 Ir.upf
CELL_PARAMETERS angstrom
4.6144 0.0000 0.0000
0.0000 4.6144 0.0000
0.0000 0.0000 5.1778
ATOMIC_POSITIONS crystal
Ga 0.0000 0.0000 0.0000
Sb 0.0000 0.0000 0.5000
H 0.5000 0.5000 0.5000
Ir 0.0000 0.5000 0.0000
Ir 0.5000 0.0000 0.0000

=====

2.
! ScGaHIr2 (PBE, relaxed); values from VASP
! M_tot in μB per cell: 0.00
! Final energy in eV per atom: -6.595
! Calculated volume in Å³ per cell: 65
! Space-group type: No. 123
! Calculated density in g/cm³: 12.83
&SYSTEM
  ibrav = 0, nat = 5, ntyp = 4
/
ATOMIC_SPECIES
Sc 44.96 Sc.upf
Ga 69.72 Ga.upf
H 1.01 H.upf
Ir 192.22 Ir.upf
CELL_PARAMETERS angstrom
4.0819 0.0000 0.0000
0.0000 4.0819 0.0000
0.0000 0.0000 3.8860
ATOMIC_POSITIONS crystal
Sc 0.0000 0.0000 0.0000
Ga 0.5000 0.5000 0.0000
H 0.0000 0.0000 0.5000
Ir 0.0000 0.5000 0.5000
Ir 0.5000 0.0000 0.5000

=====

3.
! SmGaHIr (PBE, relaxed); values from VASP
! M_tot in μB per cell: 0.00
! Final energy in eV per atom: -5.672
! Calculated volume in Å³ per cell: 128
! Space-group type: No. 129
! Calculated density in g/cm³: 10.69
&SYSTEM
  ibrav = 0, nat = 8, ntyp = 4
/
ATOMIC_SPECIES
Sm 150.36 Sm.upf
Ga 69.72 Ga.upf
H 1.01 H.upf
Ir 192.22 Ir.upf
CELL_PARAMETERS angstrom
4.1740 0.0000 0.0000
0.0000 4.1740 0.0000
0.0000 0.0000 7.3721
ATOMIC_POSITIONS crystal
Sm 0.2500 0.2500 0.1633
Sm 0.7500 0.7500 0.8367
Ga 0.2500 0.2500 0.6892
Ga 0.7500 0.7500 0.3108
H 0.2500 0.7500 0.0000
H 0.7500 0.2500 0.0000
Ir 0.2500 0.7500 0.5000
Ir 0.7500 0.2500 0.5000

=====

4.
! SmGaHIr2 (PBE, relaxed); values from VASP
! M_tot in μB per cell: 0.00
! Final energy in eV per atom: -6.268
! Calculated volume in Å³ per cell: 157
! Space-group type: No. 63
! Calculated density in g/cm³: 12.81
&SYSTEM
  ibrav = 0, nat = 10, ntyp = 4
/
ATOMIC_SPECIES
Sm 150.36 Sm.upf
Ga 69.72 Ga.upf
H 1.01 H.upf
Ir 192.22 Ir.upf
CELL_PARAMETERS angstrom
2.0056 -5.4360 0.0000
2.0056 5.4360 0.0000
0.0000 0.0000 7.1973
ATOMIC_POSITIONS crystal
Sm 0.0621 0.9379 0.7500
Sm 0.9379 0.0621 0.2500
Ga 0.2176 0.7824 0.2500
Ga 0.7824 0.2176 0.7500
H 0.5000 0.5000 0.0000
H 0.5000 0.5000 0.5000
Ir 0.3412 0.6588 0.5506
Ir 0.3412 0.6588 0.9494
Ir 0.6588 0.3412 0.0506
Ir 0.6588 0.3412 0.4494